Record 1
Below is a relaxed structure of La2AlPb, with properties calculated at the PBE level. Values from VASP.

Geometry as Quantum ESPRESSO input:
```
&SYSTEM
  ibrav = 0, nat = 4, ntyp = 3
/
ATOMIC_SPECIES
Pb 207.20 Pb.upf
Al 26.98 Al.upf
La 138.91 La.upf
CELL_PARAMETERS angstrom
-3.275 3.920 -0.040
-2.262 -1.925 -3.424
-2.979 -2.454 3.346
ATOMIC_POSITIONS angstrom
Pb -2.531 -2.123 -0.885
Al -5.657 -1.390 0.767
La -2.890 -2.388 2.501
La -3.037 0.799 0.807
```

Values from the calculation:
- DFT formation energy: -0.44 eV/atom
- DOS(E_F): 3.6 states/eV/f.u.
- SG: P4/mmm (123)

=====

Record 2
Below is a relaxed structure of Ti3AsOs, with properties calculated at the PBE level. Values from VASP.

Geometry as Quantum ESPRESSO input:
```
&SYSTEM
  ibrav = 0, nat = 5, ntyp = 3
/
ATOMIC_SPECIES
As 74.92 As.upf
Os 190.23 Os.upf
Ti 47.87 Ti.upf
CELL_PARAMETERS angstrom
-1.370 1.725 -4.182
-3.623 -3.034 -0.065
-2.708 3.187 2.202
ATOMIC_POSITIONS angstrom
As -3.850 0.939 -1.022
Os 0.000 0.000 0.000
Ti -1.812 -1.517 -0.032
Ti -1.354 1.593 1.101
Ti -0.685 0.862 -2.091
```

Values from the calculation:
- Energy above the most stable polymorph in this dataset: 0.000 eV/atom
- DFT formation energy: 0.36 eV/atom
- DOS(E_F): 7.2 states/eV/f.u.
- SG: Pm-3m (221)

=====

Theoretical density
In order: 7.19; 6.43
Unit: g cm⁻³